[1]
The following is a PBE calculation of crystalline ZrHg5 at its relaxed geometry, from Alexandria via LeMat-Bulk.

Values from the calculation:
The electronic total energy comes out at -1.6378 eV per atom. Its space group is No. 123. The density of states at the Fermi level is 3.03 states/eV per cell. As for the crystal system: tetragonal. The value obtained for the spin magnetization is 0.0 μB/f.u.

POSCAR file:
```
ZrHg5
1.0
-2.7902 1.6559 0.9458
-1.0515 -2.7343 1.6851
5.8193 4.0125 10.1419
Hg Zr
5 1
direct
0.0000 0.0000 0.1558
0.5000 0.5000 0.3280
0.5000 0.5000 0.6720
0.0000 0.0000 0.8442
0.0000 0.0000 0.5000
0.5000 0.5000 0.0000
```

***

[2]
The following is a PBE calculation of crystalline Li2LaGe2 at its relaxed geometry, from Alexandria via LeMat-Bulk.

Values from the calculation:
Its space group is No. 127. The density of states at the Fermi level is 7.21 states/eV per cell. As for the crystal system: tetragonal. The energy above the most stable polymorph in this dataset is 356 meV per atom. The value obtained for the spin magnetization is 0.5 μB/f.u.

POSCAR file:
```
Li2LaGe2
1.0
-3.2662 -6.2170 -3.7569
7.2450 -2.4908 -2.1769
0.2162 -1.7772 2.7529
Li Ge La
4 4 2
direct
0.1656 0.6656 0.5000
0.8344 0.3344 0.5000
0.3344 0.1656 0.5000
0.6656 0.8344 0.5000
0.1181 0.3819 0.0000
0.3819 0.8819 0.0000
0.8819 0.6181 0.0000
0.6181 0.1181 0.0000
0.5000 0.5000 0.0000
0.0000 0.0000 0.0000
```

***

[3]
The following is a PBE calculation of crystalline CuIrBr2 at its relaxed geometry, from Alexandria via LeMat-Bulk.

Values from the calculation:
Its space group is No. 25. The density of states at the Fermi level is 4.33 states/eV per cell. The value obtained for the formation energy (no corrections) is 0.5175 eV/atom. As for the crystal system: orthorhombic. The energy above the most stable polymorph in this dataset is 265 meV per atom. The value obtained for the spin magnetization is 0.0 μB/f.u.

POSCAR file:
```
CuIrBr2
1.0
-0.6991 -3.0536 -0.9913
3.5285 -0.8412 0.1028
-0.7302 -2.1796 7.2289
Ir Br Cu
1 2 1
direct
0.5000 0.5000 0.6696
0.0000 0.0000 0.9066
0.5000 0.5000 0.3483
0.0000 0.0000 0.5755
```